# Ce4Bi3

A PBEsol-optimized structure of Ce4Bi3 (SCAN, Alexandria via LeMat-Bulk).

Values from the calculation:
calculated volume	30.54	Å³/atom
total magnetic moment	1.004	μB/atom
symmetry	I-43d (220)
calculated formation energy	-0.905	eV per atom
N(E_F)	1.1882	states/eV/atom
total energy	-60.047	eV/atom

POSCAR file:
```
Ce4Bi3
1.0
-6.0166 -5.3530 1.6463
6.4885 -1.6154 4.7807
-2.6520 7.6401 1.4699
Ce Bi
8 6
Direct
0.3498 0.0000 0.0000 Ce
0.1502 0.1502 0.6502 Ce
0.5000 0.3498 0.5000 Ce
0.5000 0.8498 0.5000 Ce
0.6502 0.6502 0.1502 Ce
0.0000 0.5000 0.3498 Ce
0.8498 0.0000 0.0000 Ce
0.0000 0.5000 0.8498 Ce
0.2500 0.3750 0.1250 Bi
0.6250 0.2500 0.8750 Bi
0.7500 0.1250 0.3750 Bi
0.1250 0.8750 0.2500 Bi
0.3750 0.6250 0.7500 Bi
0.8750 0.7500 0.6250 Bi
```